No. 1
Li3Zn8Ga3 | PBE | relaxed

```
Li3Zn8Ga3
1.0
-2.024 5.080 5.670
2.024 -5.080 5.670
2.024 5.080 -5.670
Li Zn Ga
3 8 3
Direct
0.000 0.000 0.000
0.279 0.279 0.000
0.721 0.721 0.000
0.001 0.623 0.378
0.112 0.834 0.278
0.244 0.623 0.622
0.444 0.166 0.278
0.556 0.834 0.722
0.756 0.377 0.378
0.888 0.166 0.722
0.999 0.377 0.622
0.335 0.500 0.835
0.500 0.000 0.500
0.665 0.500 0.165
```

The magnetization comes out at 0.0 μB/cell. Its total energy is -1.87 eV per atom. The crystal system is orthorhombic. Its formation energy is -81 meV/atom.


No. 2
VNi2Pt2 | PBE | relaxed

```
VNi2Pt2
1.0
6.159 0.000 0.000
0.000 6.159 0.000
0.000 0.000 3.613
V Ni Pt
2 4 4
Direct
0.000 0.000 0.000
0.500 0.500 0.000
0.135 0.365 0.000
0.365 0.865 0.000
0.635 0.135 0.000
0.865 0.635 0.000
0.165 0.665 0.500
0.335 0.165 0.500
0.665 0.835 0.500
0.835 0.335 0.500
```

As for the relative energy among the computed polymorphs: 24.31 kJ/mol of atoms. The magnetization comes out at 1.3 μB/cell. Its total energy is -6.63 eV per atom. The crystal system is tetragonal. Its formation energy is -80 meV/atom.


No. 3
Rb2CrMo | PBE | relaxed

```
Rb2CrMo
1.0
8.706 0.000 0.000
0.000 8.706 0.000
0.000 0.000 8.706
Rb Cr Mo
8 4 4
Direct
0.250 0.250 0.250
0.250 0.250 0.750
0.250 0.750 0.250
0.250 0.750 0.750
0.750 0.250 0.250
0.750 0.250 0.750
0.750 0.750 0.250
0.750 0.750 0.750
0.000 0.000 0.000
0.000 0.500 0.500
0.500 0.000 0.500
0.500 0.500 0.000
0.000 0.000 0.500
0.000 0.500 0.000
0.500 0.000 0.000
0.500 0.500 0.500
```

As for the relative energy among the computed polymorphs: 35.97 kJ/mol of atoms. The magnetization comes out at 0.2 μB/cell. Its total energy is -3.83 eV per atom. The crystal system is cubic. Its formation energy is 1770 meV/atom.


No. 4
Zr2CoP | PBE | relaxed

```
Zr2CoP
1.0
3.009 0.000 0.000
0.000 3.009 0.000
0.000 0.000 7.390
Zr Co P
2 1 1
Direct
0.000 0.000 0.000
0.500 0.500 0.346
0.000 0.000 0.615
0.500 0.500 0.740
```

As for the relative energy among the computed polymorphs: 57.24 kJ/mol of atoms. The magnetization comes out at 0.0 μB/cell. Its total energy is -7.74 eV per atom. The crystal system is tetragonal. Its formation energy is -340 meV/atom.


No. 5
SmHo2MgTl4 | PBE | relaxed

```
SmHo2MgTl4
1.0
2.633 1.520 8.967
-2.633 1.520 8.967
0.000 -3.040 8.967
Sm Ho Mg Tl
1 2 1 4
Direct
0.000 0.000 0.000
0.244 0.244 0.244
0.756 0.756 0.756
0.500 0.500 0.500
0.125 0.125 0.125
0.377 0.377 0.377
0.623 0.623 0.623
0.875 0.875 0.875
```

The magnetization comes out at 0.0 μB/cell. Its total energy is -3.40 eV per atom. The crystal system is trigonal. Its formation energy is -287 meV/atom.


No. 6
Pm4Dy6Tm | PBE | relaxed

```
Pm4Dy6Tm
1.0
10.989 0.000 0.000
-5.494 9.517 0.000
0.000 0.000 3.556
Pm Dy Tm
4 6 1
Direct
0.000 0.000 0.000
0.504 0.008 0.500
0.504 0.496 0.500
0.992 0.496 0.500
0.179 0.359 0.000
0.179 0.821 0.000
0.307 0.154 0.500
0.641 0.821 0.000
0.846 0.154 0.500
0.846 0.693 0.500
0.667 0.333 0.000
```

As for the relative energy among the computed polymorphs: 0.00 kJ/mol of atoms. The magnetization comes out at 0.0 μB/cell. Its total energy is -4.48 eV per atom. The crystal system is hexagonal. Its formation energy is 161 meV/atom.


No. 7
DyGaAu3 | PBE | relaxed

```
DyGaAu3
1.0
9.070 0.000 0.000
0.000 4.749 0.000
0.000 0.000 9.267
Dy Ga Au
4 4 12
Direct
0.236 0.250 0.004
0.264 0.750 0.504
0.736 0.250 0.496
0.764 0.750 0.996
0.113 0.250 0.673
0.387 0.750 0.173
0.613 0.250 0.827
0.887 0.750 0.327
0.072 0.250 0.397
0.102 0.750 0.156
0.111 0.750 0.844
0.389 0.250 0.344
0.398 0.250 0.656
0.428 0.750 0.897
0.572 0.250 0.103
0.602 0.750 0.344
0.611 0.750 0.656
0.889 0.250 0.156
0.898 0.250 0.844
0.928 0.750 0.603
```

As for the relative energy among the computed polymorphs: 0.00 kJ/mol of atoms. The magnetization comes out at 0.0 μB/cell. Its total energy is -4.09 eV per atom. The crystal system is orthorhombic. Its formation energy is -595 meV/atom.


No. 8
Sc4TcPd | PBE | relaxed

```
Sc4TcPd
1.0
3.343 0.000 0.000
0.000 3.343 0.000
0.000 0.000 10.853
Sc Tc Pd
4 1 1
Direct
0.000 0.000 0.136
0.000 0.000 0.864
0.500 0.500 0.355
0.500 0.500 0.645
0.500 0.500 0.000
0.000 0.000 0.500
```

As for the relative energy among the computed polymorphs: 0.00 kJ/mol of atoms. The magnetization comes out at 0.0 μB/cell. Its total energy is -7.18 eV per atom. The crystal system is tetragonal. Its formation energy is -368 meV/atom.


No. 9
Ba2CaC | PBE | relaxed

```
Ba2CaC
1.0
11.266 0.000 0.000
0.000 11.266 0.000
0.000 0.000 5.011
Ba Ca C
8 4 4
Direct
0.074 0.250 0.125
0.250 0.574 0.375
0.250 0.926 0.875
0.426 0.250 0.625
0.574 0.750 0.625
0.750 0.074 0.875
0.750 0.426 0.375
0.926 0.750 0.125
0.000 0.000 0.500
0.000 0.500 0.750
0.500 0.000 0.250
0.500 0.500 0.000
0.000 0.000 0.000
0.000 0.500 0.250
0.500 0.000 0.750
0.500 0.500 0.500
```

The magnetization comes out at 0.0 μB/cell. Its total energy is -3.22 eV per atom. The crystal system is tetragonal. Its formation energy is 549 meV/atom.


No. 10
Sr2NiGePb | PBE | relaxed

```
Sr2NiGePb
1.0
5.815 0.000 0.000
0.000 5.815 0.000
0.000 0.000 4.445
Sr Ni Ge Pb
2 1 1 1
Direct
0.000 0.500 0.000
0.500 0.000 0.000
0.000 0.000 0.000
0.000 0.000 0.500
0.500 0.500 0.500
```

The magnetization comes out at 0.0 μB/cell. Its total energy is -3.82 eV per atom. The crystal system is tetragonal. Its formation energy is -326 meV/atom.


No. 11
NaUIn2I6 | PBE | relaxed

```
NaUIn2I6
1.0
8.516 0.000 0.000
4.257 7.377 0.000
4.254 2.457 7.256
Na U In I
1 1 2 6
Direct
0.000 0.000 0.000
0.506 0.505 0.484
0.201 0.202 0.397
0.707 0.707 0.880
0.155 0.367 0.715
0.285 0.864 0.217
0.367 0.764 0.714
0.634 0.285 0.217
0.764 0.156 0.715
0.864 0.634 0.217
```

The magnetization comes out at 3.0 μB/cell. Its total energy is -3.49 eV per atom. For the formation energy from raw total energies, the calculation gives -0.75 eV/atom. The crystal system is triclinic.


No. 12
SmBiPd2 | PBE | relaxed

```
SmBiPd2
1.0
7.013 0.000 0.000
0.000 7.013 0.000
0.000 0.000 7.013
Sm Bi Pd
4 4 8
Direct
0.000 0.000 0.000
0.000 0.500 0.500
0.500 0.000 0.500
0.500 0.500 0.000
0.000 0.000 0.500
0.000 0.500 0.000
0.500 0.000 0.000
0.500 0.500 0.500
0.250 0.250 0.250
0.250 0.250 0.750
0.250 0.750 0.250
0.250 0.750 0.750
0.750 0.250 0.250
0.750 0.250 0.750
0.750 0.750 0.250
0.750 0.750 0.750
```

As for the relative energy among the computed polymorphs: 0.56 kJ/mol of atoms. The magnetization comes out at 0.0 μB/cell. Its total energy is -5.47 eV per atom. The crystal system is cubic. Its formation energy is -720 meV/atom.


Which of these has the highest magnetization? NaUIn2I6